(1)
! Rb2Y2PaSe6 | Alexandria via LeMat-Bulk | GGA-PBE | relaxed; values from VASP
&SYSTEM
  ibrav = 0, nat = 11, ntyp = 4
/
ATOMIC_SPECIES
Rb 85.47 Rb.upf
Y 88.91 Y.upf
Pa 231.04 Pa.upf
Se 78.96 Se.upf
CELL_PARAMETERS angstrom
3.634 -6.286 0.000
3.634 6.286 0.000
-2.453 0.000 8.209
ATOMIC_POSITIONS crystal
Rb 0.168 0.832 0.000
Rb 0.832 0.168 0.000
Y 0.333 0.667 0.500
Y 0.667 0.333 0.500
Pa 0.000 0.000 0.500
Se 0.065 0.395 0.692
Se 0.265 0.265 0.308
Se 0.395 0.065 0.692
Se 0.605 0.935 0.308
Se 0.735 0.735 0.692
Se 0.935 0.605 0.308
! * formation energy without anion corrections: -1.6647 eV per atom
! * spin magnetization: 1.07 μB/cell


(2)
! K2Ge2Te5 | Alexandria via LeMat-Bulk | GGA-PBE | relaxed; values from VASP
&SYSTEM
  ibrav = 0, nat = 9, ntyp = 3
/
ATOMIC_SPECIES
K 39.10 K.upf
Ge 72.64 Ge.upf
Te 127.60 Te.upf
CELL_PARAMETERS angstrom
8.419 -2.750 0.000
8.419 2.750 0.000
-4.223 0.000 7.600
ATOMIC_POSITIONS crystal
K 0.059 0.059 0.310
K 0.941 0.941 0.690
Ge 0.341 0.341 0.052
Ge 0.659 0.659 0.948
Te 0.172 0.172 0.049
Te 0.402 0.402 0.404
Te 0.500 0.500 0.000
Te 0.598 0.598 0.596
Te 0.828 0.828 0.951
! * formation energy without anion corrections: -0.3901 eV per atom
! * spin magnetization: 0.00 μB/cell
! * distance to the lowest polymorph of the same formula: 0 meV/atom


(3)
! TmPuTlIn | Alexandria via LeMat-Bulk | GGA-PBE | relaxed; values from VASP
&SYSTEM
  ibrav = 0, nat = 4, ntyp = 4
/
ATOMIC_SPECIES
Tm 168.93 Tm.upf
Pu 244.00 Pu.upf
Tl 204.38 Tl.upf
In 114.82 In.upf
CELL_PARAMETERS angstrom
3.344 0.000 0.000
0.000 3.344 0.000
0.000 0.000 9.354
ATOMIC_POSITIONS crystal
Tm 0.000 0.000 0.000
Pu 0.000 0.000 0.504
Tl 0.500 0.500 0.246
In 0.500 0.500 0.759
! * spin magnetization: 6.09 μB/cell
! * E_form: -0.22 eV per atom
! * distance to the lowest polymorph of the same formula: 0 meV/atom


(4)
! Ho2AlRu | Alexandria via LeMat-Bulk | GGA-PBE | relaxed; values from VASP
&SYSTEM
  ibrav = 0, nat = 4, ntyp = 3
/
ATOMIC_SPECIES
Ho 164.93 Ho.upf
Al 26.98 Al.upf
Ru 101.07 Ru.upf
CELL_PARAMETERS angstrom
3.471 0.000 0.000
0.000 3.471 0.000
0.000 0.000 7.102
ATOMIC_POSITIONS crystal
Ho 0.000 0.000 0.230
Ho 0.000 0.000 0.770
Al 0.500 0.500 0.500
Ru 0.500 0.500 0.000
! * spin magnetization: 0.00 μB/cell
! * E_form: -0.44 eV per atom


(5)
! K3Co2Br8 | Alexandria via LeMat-Bulk | GGA-PBE | relaxed; values from VASP
&SYSTEM
  ibrav = 0, nat = 13, ntyp = 3
/
ATOMIC_SPECIES
K 39.10 K.upf
Co 58.93 Co.upf
Br 79.90 Br.upf
CELL_PARAMETERS angstrom
6.529 -3.764 0.000
6.529 3.764 0.000
-4.338 0.000 9.277
ATOMIC_POSITIONS crystal
K 0.000 0.000 0.000
K 0.205 0.205 0.618
K 0.795 0.795 0.382
Co 0.407 0.407 0.221
Co 0.593 0.593 0.779
Br 0.224 0.735 0.693
Br 0.265 0.265 0.306
Br 0.265 0.776 0.307
Br 0.324 0.324 0.969
Br 0.676 0.676 0.031
Br 0.735 0.224 0.693
Br 0.735 0.735 0.694
Br 0.776 0.265 0.307
! * formation energy without anion corrections: -0.9628 eV per atom
! * spin magnetization: 7.00 μB/cell


(6)
! Tb2SmTh3Te6 | Alexandria via LeMat-Bulk | GGA-PBE | relaxed; values from VASP
&SYSTEM
  ibrav = 0, nat = 12, ntyp = 4
/
ATOMIC_SPECIES
Tb 158.93 Tb.upf
Sm 150.36 Sm.upf
Th 232.04 Th.upf
Te 127.60 Te.upf
CELL_PARAMETERS angstrom
9.959 -2.150 0.000
9.959 2.150 0.000
-3.121 0.000 8.599
ATOMIC_POSITIONS crystal
Tb 0.166 0.166 0.331
Tb 0.834 0.834 0.669
Sm 0.500 0.500 0.000
Th 0.165 0.165 0.830
Th 0.500 0.500 0.500
Th 0.835 0.835 0.170
Te 0.004 0.004 0.248
Te 0.331 0.331 0.425
Te 0.334 0.334 0.911
Te 0.666 0.666 0.089
Te 0.669 0.669 0.575
Te 0.996 0.996 0.752
! * formation energy without anion corrections: -1.1628 eV per atom
! * spin magnetization: 0.00 μB/cell


(7)
! TlB2O | Alexandria via LeMat-Bulk | GGA-PBE | relaxed; values from VASP
&SYSTEM
  ibrav = 0, nat = 8, ntyp = 3
/
ATOMIC_SPECIES
Tl 204.38 Tl.upf
B 10.81 B.upf
O 16.00 O.upf
CELL_PARAMETERS angstrom
-2.047 2.047 5.478
2.047 -2.047 5.478
2.047 2.047 -5.478
ATOMIC_POSITIONS crystal
Tl 0.000 0.000 0.000
Tl 0.750 0.250 0.500
B 0.372 0.625 0.247
B 0.375 0.622 0.747
B 0.378 0.125 0.753
B 0.875 0.628 0.253
O 0.250 0.750 0.500
O 0.500 0.500 0.000
! * formation energy without anion corrections: 0.7419 eV per atom
! * spin magnetization: 0.00 μB/cell
! * distance to the lowest polymorph of the same formula: 0 meV/atom


(8)
! Na3UPa3S8 | Alexandria via LeMat-Bulk | GGA-PBE | relaxed; values from VASP
&SYSTEM
  ibrav = 0, nat = 15, ntyp = 4
/
ATOMIC_SPECIES
Na 22.99 Na.upf
U 238.03 U.upf
Pa 231.04 Pa.upf
S 32.06 S.upf
CELL_PARAMETERS angstrom
3.944 2.277 6.864
-3.944 2.277 6.864
0.000 -4.554 6.864
ATOMIC_POSITIONS crystal
Na 0.000 0.500 0.500
Na 0.500 0.000 0.500
Na 0.500 0.500 0.000
U 0.500 0.500 0.500
Pa 0.000 0.000 0.500
Pa 0.000 0.500 0.000
Pa 0.500 0.000 0.000
S 0.242 0.743 0.743
S 0.245 0.245 0.245
S 0.257 0.257 0.758
S 0.257 0.758 0.257
S 0.743 0.242 0.743
S 0.743 0.743 0.242
S 0.755 0.755 0.755
S 0.758 0.257 0.257
! * formation energy without anion corrections: -1.4487 eV per atom
! * spin magnetization: 8.05 μB/cell


(9)
! YSc2Rh | Alexandria via LeMat-Bulk | GGA-PBE | relaxed; values from VASP
&SYSTEM
  ibrav = 0, nat = 8, ntyp = 3
/
ATOMIC_SPECIES
Y 88.91 Y.upf
Sc 44.96 Sc.upf
Rh 102.91 Rh.upf
CELL_PARAMETERS angstrom
-4.036 4.036 2.982
4.036 -4.036 2.982
4.036 4.036 -2.982
ATOMIC_POSITIONS crystal
Y 0.000 0.000 0.000
Y 0.750 0.250 0.500
Sc 0.199 0.625 0.074
Sc 0.375 0.449 0.574
Sc 0.551 0.125 0.926
Sc 0.875 0.801 0.426
Rh 0.250 0.750 0.500
Rh 0.500 0.500 0.000
! * spin magnetization: 0.00 μB/cell
! * E_form: -0.27 eV per atom
! * distance to the lowest polymorph of the same formula: 249 meV/atom


(10)
! BeCdAu5 | Alexandria via LeMat-Bulk | GGA-PBE | relaxed; values from VASP
&SYSTEM
  ibrav = 0, nat = 7, ntyp = 3
/
ATOMIC_SPECIES
Be 9.01 Be.upf
Cd 112.41 Cd.upf
Au 196.97 Au.upf
CELL_PARAMETERS angstrom
4.103 0.000 0.000
0.000 4.103 0.000
0.000 0.000 7.307
ATOMIC_POSITIONS crystal
Be 0.000 0.000 0.000
Cd 0.000 0.000 0.500
Au 0.000 0.500 0.195
Au 0.000 0.500 0.805
Au 0.500 0.000 0.195
Au 0.500 0.000 0.805
Au 0.500 0.500 0.500
! * spin magnetization: 0.00 μB/cell
! * E_form: -0.10 eV per atom
! * distance to the lowest polymorph of the same formula: 24 meV/atom


(11)
! InTcNi2 | Alexandria via LeMat-Bulk | GGA-PBE | relaxed; values from VASP
&SYSTEM
  ibrav = 0, nat = 4, ntyp = 3
/
ATOMIC_SPECIES
In 114.82 In.upf
Tc 98.00 Tc.upf
Ni 58.69 Ni.upf
CELL_PARAMETERS angstrom
2.722 0.000 0.000
0.000 4.130 0.000
-1.348 0.000 5.014
ATOMIC_POSITIONS crystal
In 0.000 0.000 0.000
Tc 0.326 0.500 0.655
Ni 0.603 0.500 0.206
Ni 0.740 0.000 0.481
! * spin magnetization: 0.02 μB/cell
! * E_form: 0.12 eV per atom


(12)
! Ca2HgPdN | Alexandria via LeMat-Bulk | GGA-PBE | relaxed; values from VASP
&SYSTEM
  ibrav = 0, nat = 5, ntyp = 4
/
ATOMIC_SPECIES
Ca 40.08 Ca.upf
Hg 200.59 Hg.upf
Pd 106.42 Pd.upf
N 14.01 N.upf
CELL_PARAMETERS angstrom
4.952 0.000 0.000
0.000 4.952 0.000
0.000 0.000 4.120
ATOMIC_POSITIONS crystal
Ca 0.000 0.500 0.000
Ca 0.500 0.000 0.000
Hg 0.000 0.000 0.500
Pd 0.500 0.500 0.500
N 0.500 0.500 0.000
! * formation energy without anion corrections: -0.5504 eV per atom
! * spin magnetization: 0.00 μB/cell


(13)
! HgSb4Pb | Alexandria via LeMat-Bulk | GGA-PBE | relaxed; values from VASP
&SYSTEM
  ibrav = 0, nat = 6, ntyp = 3
/
ATOMIC_SPECIES
Hg 200.59 Hg.upf
Sb 121.76 Sb.upf
Pb 207.20 Pb.upf
CELL_PARAMETERS angstrom
0.000 4.494 4.494
4.494 0.000 4.494
4.494 4.494 0.000
ATOMIC_POSITIONS crystal
Hg 0.000 0.000 0.000
Sb 0.375 0.375 0.375
Sb 0.375 0.375 0.875
Sb 0.375 0.875 0.375
Sb 0.875 0.375 0.375
Pb 0.750 0.750 0.750
! * formation energy without anion corrections: 0.1902 eV per atom
! * spin magnetization: 0.00 μB/cell


(14)
! VSbTe2Ir | Alexandria via LeMat-Bulk | GGA-PBE | relaxed; values from VASP
&SYSTEM
  ibrav = 0, nat = 5, ntyp = 4
/
ATOMIC_SPECIES
V 50.94 V.upf
Sb 121.76 Sb.upf
Te 127.60 Te.upf
Ir 192.22 Ir.upf
CELL_PARAMETERS angstrom
4.991 0.000 0.000
0.000 4.991 0.000
0.000 0.000 5.022
ATOMIC_POSITIONS crystal
V 0.000 0.000 0.000
Sb 0.000 0.000 0.500
Te 0.000 0.500 0.000
Te 0.500 0.000 0.000
Ir 0.500 0.500 0.500
! * formation energy without anion corrections: 0.9628 eV per atom
! * spin magnetization: 0.00 μB/cell
! * distance to the lowest polymorph of the same formula: 0 meV/atom


(15)
! Sr2ZrTa | Alexandria via LeMat-Bulk | GGA-PBE | relaxed; values from VASP
&SYSTEM
  ibrav = 0, nat = 4, ntyp = 3
/
ATOMIC_SPECIES
Sr 87.62 Sr.upf
Zr 91.22 Zr.upf
Ta 180.95 Ta.upf
CELL_PARAMETERS angstrom
-2.313 3.045 4.653
2.313 -3.045 4.653
2.313 3.045 -4.653
ATOMIC_POSITIONS crystal
Sr 0.000 0.000 0.000
Sr 0.691 0.191 0.500
Zr 0.405 0.405 0.000
Ta 0.283 0.783 0.500
! * spin magnetization: 0.00 μB/cell
! * E_form: 0.80 eV per atom
! * distance to the lowest polymorph of the same formula: 351 meV/atom


(16)
! Sm6Si2GeBr3 | Alexandria via LeMat-Bulk | GGA-PBE | relaxed; values from VASP
&SYSTEM
  ibrav = 0, nat = 12, ntyp = 4
/
ATOMIC_SPECIES
Sm 150.36 Sm.upf
Si 28.09 Si.upf
Ge 72.64 Ge.upf
Br 79.90 Br.upf
CELL_PARAMETERS angstrom
9.456 -2.120 0.000
9.456 2.120 0.000
-2.330 0.000 8.386
ATOMIC_POSITIONS crystal
Sm 0.010 0.010 0.231
Sm 0.324 0.324 0.438
Sm 0.341 0.341 0.890
Sm 0.659 0.659 0.110
Sm 0.676 0.676 0.562
Sm 0.990 0.990 0.769
Si 0.167 0.167 0.334
Si 0.833 0.833 0.666
Ge 0.500 0.500 0.000
Br 0.166 0.166 0.834
Br 0.500 0.500 0.500
Br 0.834 0.834 0.166
! * formation energy without anion corrections: -1.0888 eV per atom
! * spin magnetization: 0.00 μB/cell


(17)
! Nb2Ir2Ru7 | Alexandria via LeMat-Bulk | GGA-PBE | relaxed; values from VASP
&SYSTEM
  ibrav = 0, nat = 11, ntyp = 3
/
ATOMIC_SPECIES
Nb 92.91 Nb.upf
Ir 192.22 Ir.upf
Ru 101.07 Ru.upf
CELL_PARAMETERS angstrom
4.738 0.000 0.000
-0.465 5.058 0.000
-0.875 -1.370 7.035
ATOMIC_POSITIONS crystal
Nb 0.000 0.000 0.000
Nb 0.004 0.504 0.011
Ir 0.449 0.477 0.449
Ir 0.638 0.001 0.568
Ru 0.091 0.821 0.363
Ru 0.186 0.178 0.697
Ru 0.495 0.703 0.833
Ru 0.508 0.275 0.055
Ru 0.545 0.806 0.200
Ru 0.909 0.286 0.343
Ru 0.961 0.638 0.661
! * spin magnetization: 0.00 μB/cell
! * E_form: 0.17 eV per atom


(18)
! CuHgOs3 | Alexandria via LeMat-Bulk | GGA-PBE | relaxed; values from VASP
&SYSTEM
  ibrav = 0, nat = 5, ntyp = 3
/
ATOMIC_SPECIES
Cu 63.55 Cu.upf
Hg 200.59 Hg.upf
Os 190.23 Os.upf
CELL_PARAMETERS angstrom
4.500 0.000 0.000
0.000 4.500 0.000
0.000 0.000 4.500
ATOMIC_POSITIONS crystal
Cu 0.000 0.000 0.000
Hg 0.500 0.500 0.500
Os 0.000 0.000 0.500
Os 0.000 0.500 0.000
Os 0.500 0.000 0.000
! * spin magnetization: 2.37 μB/cell
! * E_form: 2.15 eV per atom
! * distance to the lowest polymorph of the same formula: 0 meV/atom


(19)
! Np3HPt8 | Alexandria via LeMat-Bulk | GGA-PBE | relaxed; values from VASP
&SYSTEM
  ibrav = 0, nat = 12, ntyp = 3
/
ATOMIC_SPECIES
Np 237.00 Np.upf
H 1.01 H.upf
Pt 195.08 Pt.upf
CELL_PARAMETERS angstrom
2.704 1.561 8.827
-2.704 1.561 8.827
0.000 -3.123 8.827
ATOMIC_POSITIONS crystal
Np 0.000 0.000 0.000
Np 0.130 0.130 0.130
Np 0.516 0.516 0.516
H 0.701 0.701 0.701
Pt 0.071 0.071 0.567
Pt 0.071 0.567 0.071
Pt 0.076 0.567 0.567
Pt 0.319 0.319 0.319
Pt 0.567 0.071 0.071
Pt 0.567 0.076 0.567
Pt 0.567 0.567 0.076
Pt 0.820 0.820 0.820
! * spin magnetization: 11.30 μB/cell
! * final energy: -96.403 eV/cell


(20)
! PmBAs | Alexandria via LeMat-Bulk | GGA-PBE | relaxed; values from VASP
&SYSTEM
  ibrav = 0, nat = 6, ntyp = 3
/
ATOMIC_SPECIES
Pm 145.00 Pm.upf
B 10.81 B.upf
As 74.92 As.upf
CELL_PARAMETERS angstrom
3.060 -2.921 0.000
3.060 2.921 0.000
-0.903 0.000 7.248
ATOMIC_POSITIONS crystal
Pm 0.231 0.231 0.254
Pm 0.769 0.769 0.746
B 0.406 0.406 0.922
B 0.594 0.594 0.078
As 0.252 0.252 0.668
As 0.748 0.748 0.332
! * spin magnetization: 0.00 μB/cell
! * E_form: -0.54 eV per atom


(21)
! TbPdRh | Alexandria via LeMat-Bulk | GGA-PBE | relaxed; values from VASP
&SYSTEM
  ibrav = 0, nat = 3, ntyp = 3
/
ATOMIC_SPECIES
Tb 158.93 Tb.upf
Pd 106.42 Pd.upf
Rh 102.91 Rh.upf
CELL_PARAMETERS angstrom
4.365 0.000 0.000
-2.183 3.781 0.000
0.000 0.000 3.671
ATOMIC_POSITIONS crystal
Tb 0.000 0.000 0.000
Pd 0.333 0.667 0.500
Rh 0.667 0.333 0.500
! * spin magnetization: 0.00 μB/cell
! * E_form: -0.62 eV per atom
! * distance to the lowest polymorph of the same formula: 0 meV/atom


(22)
! ZnH2Se2O8 | Alexandria via LeMat-Bulk | GGA-PBE | relaxed; values from VASP
&SYSTEM
  ibrav = 0, nat = 26, ntyp = 4
/
ATOMIC_SPECIES
Zn 65.41 Zn.upf
H 1.01 H.upf
Se 78.96 Se.upf
O 16.00 O.upf
CELL_PARAMETERS angstrom
5.172 0.000 0.000
0.000 8.721 0.000
-4.102 0.000 7.577
ATOMIC_POSITIONS crystal
Zn 0.000 0.000 0.000
Zn 0.000 0.500 0.500
H 0.438 0.014 0.658
H 0.438 0.486 0.158
H 0.562 0.514 0.842
H 0.562 0.986 0.342
Se 0.333 0.682 0.291
Se 0.333 0.818 0.791
Se 0.667 0.182 0.209
Se 0.667 0.318 0.709
O 0.046 0.639 0.318
O 0.046 0.861 0.818
O 0.308 0.581 0.110
O 0.308 0.919 0.610
O 0.311 0.635 0.728
O 0.311 0.865 0.228
O 0.345 0.146 0.033
O 0.345 0.354 0.533
O 0.655 0.646 0.467
O 0.655 0.854 0.967
O 0.689 0.135 0.772
O 0.689 0.365 0.272
O 0.692 0.081 0.390
O 0.692 0.419 0.890
O 0.954 0.139 0.182
O 0.954 0.361 0.682
! * spin magnetization: 0.00 μB/cell
! * final energy: -130.091 eV/cell


(23)
! KNa3Ag | Alexandria via LeMat-Bulk | GGA-PBE | relaxed; values from VASP
&SYSTEM
  ibrav = 0, nat = 5, ntyp = 3
/
ATOMIC_SPECIES
K 39.10 K.upf
Na 22.99 Na.upf
Ag 107.87 Ag.upf
CELL_PARAMETERS angstrom
6.290 0.000 0.000
0.000 6.290 0.000
0.000 0.000 6.290
ATOMIC_POSITIONS crystal
K 0.000 0.000 0.000
Na 0.000 0.000 0.500
Na 0.000 0.500 0.000
Na 0.500 0.000 0.000
Ag 0.500 0.500 0.500
! * spin magnetization: 0.00 μB/cell
! * E_form: 0.63 eV per atom
! * distance to the lowest polymorph of the same formula: 621 meV/atom


(24)
! Tm2LuMg | Alexandria via LeMat-Bulk | GGA-PBE | relaxed; values from VASP
&SYSTEM
  ibrav = 0, nat = 4, ntyp = 3
/
ATOMIC_SPECIES
Tm 168.93 Tm.upf
Lu 174.97 Lu.upf
Mg 24.30 Mg.upf
CELL_PARAMETERS angstrom
4.847 0.000 0.000
0.000 4.847 0.000
0.000 0.000 4.819
ATOMIC_POSITIONS crystal
Tm 0.000 0.500 0.000
Tm 0.500 0.000 0.000
Lu 0.000 0.000 0.500
Mg 0.500 0.500 0.500
! * spin magnetization: 0.00 μB/cell
! * E_form: 0.04 eV per atom
! * distance to the lowest polymorph of the same formula: 58 meV/atom